(1)
# Ta2Sb

Crystalline Ta2Sb at its relaxed geometry (GGA-PBE, Alexandria).

```
6
Lattice="0.000 3.954 3.954 3.954 0.000 3.954 3.954 3.954 0.000" Properties=species:S:1:pos:R:3 pbc="T T T"
Ta 0.000 0.000 0.000
Ta 1.977 1.977 0.000
Ta 1.977 0.000 1.977
Ta 0.000 1.977 1.977
Sb 2.966 2.966 2.966
Sb 4.943 4.943 4.943
```

Calculated values
Its space group is Fd-3m. For the total energy, the calculation gives -8.8787 eV per atom. The calculated density comes out at 12.99 Mg/m³. The value obtained for the magnetic moment is 0.0 μB/cell.

=====

(2)
# TaSb

Crystalline TaSb at its relaxed geometry (GGA-PBE, Alexandria).

```
4
Lattice="4.931 -1.724 0.000 4.931 1.724 0.000 -1.365 0.000 4.773" Properties=species:S:1:pos:R:3 pbc="T T T"
Ta 0.768 0.000 1.553
Ta 7.730 0.000 3.220
Sb 3.535 0.000 0.874
Sb 4.963 0.000 3.899
```

Calculated values
Its space group is C2/m. For the total energy, the calculation gives -7.9208 eV per atom. The calculated density comes out at 12.39 Mg/m³. The value obtained for the magnetic moment is 0.0 μB/cell.